NbCuRh3: relaxed, PBE.

Calculated values
* D(E_F): 12.02 states/eV per cell
* excess energy over the best structure of this formula in the dataset: 0 meV per atom
* E_form: 71 kJ/mol of formula units

Geometry as POSCAR:
```
NbCuRh3
1.0
6.379 0.000 0.000
-3.189 5.524 0.000
0.000 0.000 4.441
Nb Cu Rh
2 2 6
Direct
0.333 0.667 0.250
0.667 0.333 0.750
0.000 0.000 0.000
0.000 0.000 0.500
0.196 0.393 0.750
0.196 0.804 0.750
0.393 0.196 0.250
0.607 0.804 0.750
0.804 0.196 0.250
0.804 0.607 0.250
```